Fe4Pd3Pt4: relaxed, GGA-PBE.

```
data_Fe4Pd3Pt4
_cell_length_a 2.721
_cell_length_b 8.631
_cell_length_c 8.390
_cell_angle_alpha 120.95
_cell_angle_beta 99.33
_cell_angle_gamma 90.00
_symmetry_space_group_name_H-M 'P 1'
_symmetry_Int_Tables_number 1
_symmetry_space_group_name_Hall 'P 1'
loop_
_atom_site_label
_atom_site_fract_x
_atom_site_fract_y
_atom_site_fract_z
Fe1 0.323 0.070 0.646
Fe2 0.677 0.424 0.354
Fe3 0.677 0.930 0.354
Fe4 0.323 0.576 0.646
Pd1 0.109 0.109 0.218
Pd2 0.891 0.891 0.782
Pd3 0.000 0.500 0.000
Pt1 0.208 0.708 0.417
Pt2 0.792 0.292 0.583
Pt3 0.500 0.773 0.000
Pt4 0.500 0.227 0.000
```

Values from the calculation:
Excess energy over the best structure of this formula in the dataset (kJ per mole of atoms): 6.0
Symmetry: Immm

***

FePd4Pt6: relaxed, GGA-PBE.

```
data_FePd4Pt6
_cell_length_a 4.655
_cell_length_b 4.312
_cell_length_c 20.733
_cell_angle_alpha 90.00
_cell_angle_beta 90.00
_cell_angle_gamma 122.67
_symmetry_space_group_name_H-M 'P 1'
_symmetry_Int_Tables_number 1
_symmetry_space_group_name_Hall 'P 1'
loop_
_atom_site_label
_atom_site_fract_x
_atom_site_fract_y
_atom_site_fract_z
Fe1 0.732 0.464 0.250
Fe2 0.268 0.536 0.750
Pd1 0.860 0.721 0.547
Pd2 0.442 0.885 0.127
Pd3 0.140 0.279 0.453
Pd4 0.558 0.115 0.873
Pd5 0.860 0.721 0.953
Pd6 0.140 0.279 0.047
Pd7 0.558 0.115 0.627
Pd8 0.442 0.885 0.373
Pt1 0.500 0.000 0.000
Pt2 0.500 0.000 0.500
Pt3 0.058 0.116 0.316
Pt4 0.942 0.884 0.684
Pt5 0.942 0.884 0.816
Pt6 0.058 0.116 0.184
Pt7 0.789 0.579 0.410
Pt8 0.211 0.421 0.590
Pt9 0.211 0.421 0.910
Pt10 0.789 0.579 0.090
Pt11 0.382 0.764 0.250
Pt12 0.618 0.236 0.750
```

Values from the calculation:
Symmetry: Cmcm

***

FePd4Pt: relaxed, GGA-PBE.

```
data_FePd4Pt
_cell_length_a 6.055
_cell_length_b 6.055
_cell_length_c 5.383
_cell_angle_alpha 90.00
_cell_angle_beta 90.00
_cell_angle_gamma 90.00
_symmetry_space_group_name_H-M 'P 1'
_symmetry_Int_Tables_number 1
_symmetry_space_group_name_Hall 'P 1'
loop_
_atom_site_label
_atom_site_fract_x
_atom_site_fract_y
_atom_site_fract_z
Fe1 0.000 0.500 0.250
Fe2 0.500 0.000 0.750
Pd1 0.267 0.324 0.888
Pd2 0.733 0.676 0.888
Pd3 0.324 0.267 0.388
Pd4 0.267 0.676 0.612
Pd5 0.733 0.324 0.612
Pd6 0.324 0.733 0.112
Pd7 0.676 0.267 0.112
Pd8 0.676 0.733 0.388
Pt1 0.000 0.000 0.000
Pt2 0.000 0.000 0.500
```

Values from the calculation:
Excess energy over the best structure of this formula in the dataset (kJ per mole of atoms): 30.5
Symmetry: P-42c

***

Fe2Pd5Pt5: relaxed, GGA-PBE.

```
data_Fe2Pd5Pt5
_cell_length_a 3.906
_cell_length_b 6.186
_cell_length_c 8.353
_cell_angle_alpha 72.63
_cell_angle_beta 76.48
_cell_angle_gamma 71.60
_symmetry_space_group_name_H-M 'P 1'
_symmetry_Int_Tables_number 1
_symmetry_space_group_name_Hall 'P 1'
loop_
_atom_site_label
_atom_site_fract_x
_atom_site_fract_y
_atom_site_fract_z
Fe1 0.915 0.415 0.754
Fe2 0.085 0.585 0.246
Pd1 0.837 0.828 0.499
Pd2 0.255 0.742 0.747
Pd3 0.745 0.258 0.253
Pd4 0.163 0.172 0.501
Pd5 0.000 0.000 0.000
Pt1 0.500 0.500 0.500
Pt2 0.332 0.336 0.000
Pt3 0.422 0.905 0.251
Pt4 0.578 0.095 0.749
Pt5 0.668 0.664 0.000
```

Values from the calculation:
Symmetry: C2/m

***

| no. | V (Å³/cell) | energy relative to the elements (eV/atom) |
| --- | --- | --- |
| 1 | 165.9 | 0.030 |
| 2 | 350.4 | 0.084 |
| 3 | 197.4 | 0.229 |
| 4 | 180.6 | -0.146 |